No. 1
VASP calculation (PBE) on an optimized crystal structure of MgCo2Pt.

Properties
Fermi-level density of states: 9.684 states/eV per cell
E: -5.56 eV per atom

```
data_MgCo2Pt
_symmetry_space_group_name_H-M 'C 1 m 1'
_symmetry_Int_Tables_number 8
_symmetry_space_group_name_Hall 'C -2y'
_cell_length_a 8.8339
_cell_length_b 2.7577
_cell_length_c 4.6082
_cell_angle_alpha 90.00
_cell_angle_beta 103.34
_cell_angle_gamma 90.00
loop_
_atom_site_label
_atom_site_type_symbol
_atom_site_fract_x
_atom_site_fract_y
_atom_site_fract_z
Mg1 Mg 0.0000 0.0000 0.0000
Co1 Co 0.2635 0.5000 0.2903
Co2 Co 0.4921 0.0000 0.4792
Pt1 Pt 0.2400 0.0000 0.7594
```

=====

No. 2
VASP calculation (PBE) on an optimized crystal structure of RbUSb2.

Properties
Fermi-level density of states: 13.089 states/eV per cell
polymorph energy (0 for the lowest one): 26 meV per atom
E: -5.33 eV per atom

```
data_RbUSb2
_symmetry_space_group_name_H-M 'R -3 m'
_symmetry_Int_Tables_number 166
_symmetry_space_group_name_Hall '-R 3 2"'
_cell_length_a 4.5843
_cell_length_b 4.5843
_cell_length_c 25.2041
_cell_angle_alpha 90.00
_cell_angle_beta 90.00
_cell_angle_gamma 120.00
loop_
_atom_site_label
_atom_site_type_symbol
_atom_site_fract_x
_atom_site_fract_y
_atom_site_fract_z
Rb1 Rb 0.0000 0.0000 0.0000
U1 U 0.0000 0.0000 0.5000
Sb1 Sb 0.0000 0.0000 0.2272
```

=====

No. 3
VASP calculation (PBE) on an optimized crystal structure of Pr2EuC.

Properties
Fermi-level density of states: 12.524 states/eV per cell
E: -7.28 eV per atom

```
data_Pr2EuC
_symmetry_space_group_name_H-M 'R -3 m'
_symmetry_Int_Tables_number 166
_symmetry_space_group_name_Hall '-R 3 2"'
_cell_length_a 3.7586
_cell_length_b 3.7586
_cell_length_c 30.0899
_cell_angle_alpha 90.00
_cell_angle_beta 90.00
_cell_angle_gamma 120.00
loop_
_atom_site_label
_atom_site_type_symbol
_atom_site_fract_x
_atom_site_fract_y
_atom_site_fract_z
Pr1 Pr 0.0000 0.0000 0.2142
Eu1 Eu 0.0000 0.0000 0.0000
C1 C 0.0000 0.0000 0.5000
```

=====

No. 4
VASP calculation (PBE) on an optimized crystal structure of AlRuRh2.

Properties
Fermi-level density of states: 9.720 states/eV per cell
E: -7.30 eV per atom

```
data_AlRuRh2
_symmetry_space_group_name_H-M 'C 1 m 1'
_symmetry_Int_Tables_number 8
_symmetry_space_group_name_Hall 'C -2y'
_cell_length_a 8.9590
_cell_length_b 2.7740
_cell_length_c 4.6338
_cell_angle_alpha 90.00
_cell_angle_beta 102.75
_cell_angle_gamma 90.00
loop_
_atom_site_label
_atom_site_type_symbol
_atom_site_fract_x
_atom_site_fract_y
_atom_site_fract_z
Al1 Al 0.0000 0.0000 0.0000
Ru1 Ru 0.2453 0.5000 0.2916
Rh1 Rh 0.2566 0.0000 0.7942
Rh2 Rh 0.4960 0.0000 0.4979
```

=====

No. 5
VASP calculation (PBE) on an optimized crystal structure of Er6Mn2Tl.

Properties
Fermi-level density of states: 35.536 states/eV per cell
E: -5.41 eV per atom

```
data_Er6Mn2Tl
_symmetry_space_group_name_H-M 'I m m m'
_symmetry_Int_Tables_number 71
_symmetry_space_group_name_Hall '-I 2 2'
_cell_length_a 9.4825
_cell_length_b 9.6051
_cell_length_c 9.8971
_cell_angle_alpha 90.00
_cell_angle_beta 90.00
_cell_angle_gamma 90.00
loop_
_atom_site_label
_atom_site_type_symbol
_atom_site_fract_x
_atom_site_fract_y
_atom_site_fract_z
Er1 Er 0.0000 0.2189 0.2310
Er2 Er 0.2065 0.5000 0.1874
Er3 Er 0.2125 0.3092 0.5000
Mn1 Mn 0.0000 0.3872 0.0000
Mn2 Mn 0.0000 0.5000 0.3941
Tl1 Tl 0.0000 0.0000 0.0000
Tl2 Tl 0.0000 0.0000 0.5000
```

=====

No. 6
VASP calculation (PBE) on an optimized crystal structure of BeSbTe2Rh.

Properties
Fermi-level density of states: 3.645 states/eV per cell
polymorph energy (0 for the lowest one): 88 meV per atom
E: -3.52 eV per atom

```
data_BeSbTe2Rh
_symmetry_space_group_name_H-M 'P 4/m m m'
_symmetry_Int_Tables_number 123
_symmetry_space_group_name_Hall '-P 4 2'
_cell_length_a 5.3690
_cell_length_b 5.3690
_cell_length_c 4.9090
_cell_angle_alpha 90.00
_cell_angle_beta 90.00
_cell_angle_gamma 90.00
loop_
_atom_site_label
_atom_site_type_symbol
_atom_site_fract_x
_atom_site_fract_y
_atom_site_fract_z
Be1 Be 0.0000 0.0000 0.0000
Sb1 Sb 0.5000 0.5000 0.0000
Te1 Te 0.0000 0.5000 0.5000
Rh1 Rh 0.5000 0.5000 0.5000
```

=====

No. 7
VASP calculation (PBE) on an optimized crystal structure of Tb4Pm5Mg2.

Properties
Fermi-level density of states: 31.254 states/eV per cell
polymorph energy (0 for the lowest one): 0 meV per atom
E: -4.08 eV per atom

```
data_Tb4Pm5Mg2
_symmetry_space_group_name_H-M 'C 1 2/m 1'
_symmetry_Int_Tables_number 12
_symmetry_space_group_name_Hall '-C 2y'
_cell_length_a 22.5313
_cell_length_b 3.5477
_cell_length_c 8.8215
_cell_angle_alpha 90.00
_cell_angle_beta 93.68
_cell_angle_gamma 90.00
loop_
_atom_site_label
_atom_site_type_symbol
_atom_site_fract_x
_atom_site_fract_y
_atom_site_fract_z
Tb1 Tb 0.0731 0.0000 0.2179
Tb2 Tb 0.2107 0.5000 0.3200
Pm1 Pm 0.0000 0.5000 0.5000
Pm2 Pm 0.1325 0.0000 0.5980
Pm3 Pm 0.1831 0.0000 0.9736
Mg1 Mg 0.0540 0.5000 0.8788
```

=====

No. 8
VASP calculation (PBE) on an optimized crystal structure of MgMn2GeRh.

Properties
Fermi-level density of states: 1.950 states/eV per cell
E: -5.94 eV per atom

```
data_MgMn2GeRh
_symmetry_space_group_name_H-M 'P 4/m m m'
_symmetry_Int_Tables_number 123
_symmetry_space_group_name_Hall '-P 4 2'
_cell_length_a 4.8973
_cell_length_b 4.8973
_cell_length_c 4.6265
_cell_angle_alpha 90.00
_cell_angle_beta 90.00
_cell_angle_gamma 90.00
loop_
_atom_site_label
_atom_site_type_symbol
_atom_site_fract_x
_atom_site_fract_y
_atom_site_fract_z
Mg1 Mg 0.0000 0.0000 0.0000
Mn1 Mn 0.0000 0.5000 0.5000
Ge1 Ge 0.5000 0.5000 0.0000
Rh1 Rh 0.5000 0.5000 0.5000
```

=====

No. 9
VASP calculation (PBE) on an optimized crystal structure of BaLi4Pd2.

Properties
Fermi-level density of states: 3.292 states/eV per cell
polymorph energy (0 for the lowest one): 0 meV per atom
E: -3.18 eV per atom

```
data_BaLi4Pd2
_symmetry_space_group_name_H-M 'P 42/m n m'
_symmetry_Int_Tables_number 136
_symmetry_space_group_name_Hall '-P 4n 2n'
_cell_length_a 8.1232
_cell_length_b 8.1232
_cell_length_c 4.3437
_cell_angle_alpha 90.00
_cell_angle_beta 90.00
_cell_angle_gamma 90.00
loop_
_atom_site_label
_atom_site_type_symbol
_atom_site_fract_x
_atom_site_fract_y
_atom_site_fract_z
Ba1 Ba 0.0000 0.0000 0.0000
Li1 Li 0.0942 0.3506 0.5000
Pd1 Pd 0.2206 0.7794 0.5000
```

=====

No. 10
VASP calculation (PBE) on an optimized crystal structure of Tl7Hg4Sb.

Properties
Fermi-level density of states: 7.106 states/eV per cell
polymorph energy (0 for the lowest one): 0 meV per atom
E: -1.83 eV per atom

```
data_Tl7Hg4Sb
_symmetry_space_group_name_H-M 'P -3 m 1'
_symmetry_Int_Tables_number 164
_symmetry_space_group_name_Hall '-P 3 2"'
_cell_length_a 5.4532
_cell_length_b 5.4532
_cell_length_c 13.9858
_cell_angle_alpha 90.00
_cell_angle_beta 90.00
_cell_angle_gamma 120.00
loop_
_atom_site_label
_atom_site_type_symbol
_atom_site_fract_x
_atom_site_fract_y
_atom_site_fract_z
Tl1 Tl 0.0000 0.0000 0.0000
Tl2 Tl 0.0000 0.0000 0.2656
Tl3 Tl 0.3333 0.6667 0.1491
Tl4 Tl 0.3333 0.6667 0.4182
Hg1 Hg 0.3333 0.6667 0.6754
Hg2 Hg 0.3333 0.6667 0.9085
Sb1 Sb 0.0000 0.0000 0.5000
```

=====

No. 11
VASP calculation (PBE) on an optimized crystal structure of LaReP2.

Properties
Fermi-level density of states: 6.686 states/eV per cell
polymorph energy (0 for the lowest one): 125 meV per atom
E: -7.72 eV per atom

```
data_LaReP2
_symmetry_space_group_name_H-M 'R 3 m'
_symmetry_Int_Tables_number 160
_symmetry_space_group_name_Hall 'R 3 -2"'
_cell_length_a 3.9718
_cell_length_b 3.9718
_cell_length_c 17.5047
_cell_angle_alpha 90.00
_cell_angle_beta 90.00
_cell_angle_gamma 120.00
loop_
_atom_site_label
_atom_site_type_symbol
_atom_site_fract_x
_atom_site_fract_y
_atom_site_fract_z
La1 La 0.0000 0.0000 0.0000
Re1 Re 0.0000 0.0000 0.8142
P1 P 0.0000 0.0000 0.2201
P2 P 0.0000 0.0000 0.4448
```

=====

No. 12
VASP calculation (PBE) on an optimized crystal structure of AlPd2Au.

Properties
Fermi-level density of states: 1.499 states/eV per cell
E: -4.96 eV per atom

```
data_AlPd2Au
_symmetry_space_group_name_H-M 'P 4/m m m'
_symmetry_Int_Tables_number 123
_symmetry_space_group_name_Hall '-P 4 2'
_cell_length_a 2.9668
_cell_length_b 2.9668
_cell_length_c 7.0678
_cell_angle_alpha 90.00
_cell_angle_beta 90.00
_cell_angle_gamma 90.00
loop_
_atom_site_label
_atom_site_type_symbol
_atom_site_fract_x
_atom_site_fract_y
_atom_site_fract_z
Al1 Al 0.0000 0.0000 0.0000
Pd1 Pd 0.5000 0.5000 0.2154
Au1 Au 0.0000 0.0000 0.5000
```

=====

Which value of E does entry 8 give?
-5.94 eV per atom

=====

Repeat the tenth record exactly.
VASP calculation (PBE) on an optimized crystal structure of Tl7Hg4Sb.

Properties
Fermi-level density of states: 7.106 states/eV per cell
polymorph energy (0 for the lowest one): 0 meV per atom
E: -1.83 eV per atom

```
data_Tl7Hg4Sb
_symmetry_space_group_name_H-M 'P -3 m 1'
_symmetry_Int_Tables_number 164
_symmetry_space_group_name_Hall '-P 3 2"'
_cell_length_a 5.4532
_cell_length_b 5.4532
_cell_length_c 13.9858
_cell_angle_alpha 90.00
_cell_angle_beta 90.00
_cell_angle_gamma 120.00
loop_
_atom_site_label
_atom_site_type_symbol
_atom_site_fract_x
_atom_site_fract_y
_atom_site_fract_z
Tl1 Tl 0.0000 0.0000 0.0000
Tl2 Tl 0.0000 0.0000 0.2656
Tl3 Tl 0.3333 0.6667 0.1491
Tl4 Tl 0.3333 0.6667 0.4182
Hg1 Hg 0.3333 0.6667 0.6754
Hg2 Hg 0.3333 0.6667 0.9085
Sb1 Sb 0.0000 0.0000 0.5000
```

=====

Which of these has the lowest Fermi-level density of states?
AlPd2Au